[1]
The following is a PBE-GGA calculation of a relaxed structure of Bi3IrBr3, from the Alexandria database.

It has space group I4_132 (No. 214), with a = 12.238 Å, b = 12.238 Å, c = 12.238 Å, α = 90.00°, β = 90.00° and γ = 90.00°. The inequivalent atoms are Bi at (0.098, 0.348, 0.125), Ir at (0.125, 0.125, 0.125) and Br at (0.123, 0.375, 0.373).

The total energy comes out at -4.01 eV/atom. The calculation puts the uncorrected formation energy at -359 meV/atom.

[2]
The following is a PBE-GGA calculation of a relaxed structure of BiMoIrBr2, from the Alexandria database.

It has space group P4/mmm (No. 123), with a = 4.934 Å, b = 4.934 Å, c = 5.027 Å, α = 90.00°, β = 90.00° and γ = 90.00°. The inequivalent atoms are Bi at (0.000, 0.000, 0.000), Mo at (0.500, 0.500, 0.500), Ir at (0.500, 0.500, 0.000) and Br at (0.000, 0.500, 0.500).

The total energy comes out at -4.61 eV/atom. The calculation puts the uncorrected formation energy at 772 meV/atom.

[3]
The following is a PBE-GGA calculation of a relaxed structure of BiIr2BrN, from the Alexandria database.

It has space group P4/mmm (No. 123), with a = 4.040 Å, b = 4.040 Å, c = 5.826 Å, α = 90.00°, β = 90.00° and γ = 90.00°. The inequivalent atoms are Bi at (0.000, 0.000, 0.000), Ir at (0.000, 0.500, 0.500), Br at (0.500, 0.500, 0.000) and N at (0.000, 0.000, 0.500).

The total energy comes out at -5.53 eV/atom. The calculation puts the uncorrected formation energy at 790 meV/atom.

[4]
The following is a PBE-GGA calculation of a relaxed structure of BiIr2BrN, from the Alexandria database.

It has space group P4/mmm (No. 123), with a = 5.189 Å, b = 5.189 Å, c = 4.411 Å, α = 90.00°, β = 90.00° and γ = 90.00°. The inequivalent atoms are Bi at (0.000, 0.000, 0.000), Ir at (0.000, 0.500, 0.000), Br at (0.500, 0.500, 0.500) and N at (0.000, 0.000, 0.500).

The total energy comes out at -4.11 eV/atom. The calculation puts the uncorrected formation energy at 2214 meV/atom.

[5]
The following is a PBE-GGA calculation of a relaxed structure of Na2BiIrBr, from the Alexandria database.

It has space group P4/mmm (No. 123), with a = 5.889 Å, b = 5.889 Å, c = 4.602 Å, α = 90.00°, β = 90.00° and γ = 90.00°. The inequivalent atoms are Na at (0.000, 0.500, 0.000), Bi at (0.000, 0.000, 0.500), Ir at (0.500, 0.500, 0.000) and Br at (0.500, 0.500, 0.500).

The total energy comes out at -2.96 eV/atom. The calculation puts the uncorrected formation energy at 449 meV/atom.

[6]
The following is a PBE-GGA calculation of a relaxed structure of Nd3BiIrBr, from the Alexandria database.

It has space group P2_1/m (No. 11), with a = 8.175 Å, b = 4.446 Å, c = 10.315 Å, α = 90.00°, β = 111.08° and γ = 90.00°. The inequivalent atoms are Nd at (0.025, 0.250, 0.360), Nd at (0.193, 0.250, 0.982), Nd at (0.414, 0.750, 0.603), Bi at (0.238, 0.750, 0.229), Ir at (0.220, 0.250, 0.645) and Br at (0.367, 0.750, 0.885).

The total energy comes out at -5.61 eV/atom. The calculation puts the uncorrected formation energy at -827 meV/atom.

[7]
The following is a PBE-GGA calculation of a relaxed structure of RbBiIr2Br, from the Alexandria database.

It has space group P4/mmm (No. 123), with a = 4.850 Å, b = 4.850 Å, c = 5.778 Å, α = 90.00°, β = 90.00° and γ = 90.00°. The inequivalent atoms are Rb at (0.000, 0.000, 0.000), Bi at (0.500, 0.500, 0.000), Ir at (0.000, 0.500, 0.500) and Br at (0.500, 0.500, 0.500).

The total energy comes out at -3.46 eV/atom. The calculation puts the uncorrected formation energy at 1389 meV/atom.

[8]
The following is a PBE-GGA calculation of a relaxed structure of Rb2BiIrBr6, from the Alexandria database.

It has space group I4/mmm (No. 139), with a = 7.818 Å, b = 7.818 Å, c = 11.095 Å, α = 90.00°, β = 90.00° and γ = 90.00°. The inequivalent atoms are Rb at (0.000, 0.500, 0.250), Bi at (0.000, 0.000, 0.000), Ir at (0.000, 0.000, 0.500), Br at (0.000, 0.000, 0.267) and Br at (0.233, 0.233, 0.500).

The total energy comes out at -3.26 eV/atom. The calculation puts the uncorrected formation energy at -787 meV/atom.

Number 1: M_tot 0.000 μB per atom. Number 2: M_tot 0.000 μB per atom. Number 3: M_tot 0.000 μB per atom. Number 4: M_tot 0.685 μB per atom. Number 5: M_tot 0.305 μB per atom. Number 6: M_tot 0.000 μB per atom. Number 7: M_tot 0.230 μB per atom. Number 8: M_tot 0.000 μB per atom.